5
Lattice="4.0712 0.0000 0.0000 0.0000 4.0712 0.0000 0.0000 0.0000 6.6306" Properties=species:S:1:pos:R:3 comment="FeTeIO2 | Alexandria via LeMat-Bulk | GGA+U | optimized geometry" e_tot_ev_per_atom=-3.9993 m_tot_mub_per_cell=5.73 volume_a3_per_atom=22.0 e_above_lowest_polymorph_ev_per_atom=0.078 crystal_system=tetragonal pbc="T T T"
I 0.0000 0.0000 3.3153
Te 2.0356 2.0356 3.3153
Fe 0.0000 0.0000 0.0000
O 2.0356 0.0000 0.0000
O 0.0000 2.0356 0.0000